Entry 1:
# TaRe2Pt, optimized geometry, DFT PBE-GGA
# ΔE_f, meV/atom: 22
data_TaRe2Pt
_cell_length_a 2.7357
_cell_length_b 2.7357
_cell_length_c 8.4890
_cell_angle_alpha 90.00
_cell_angle_beta 90.00
_cell_angle_gamma 90.00
_space_group_name_H-M_alt 'P 4/m m m'
_space_group_IT_number 123
_space_group_name_Hall '-P 4 2'
loop_
_atom_site_label
_atom_site_type_symbol
_atom_site_fract_x
_atom_site_fract_y
_atom_site_fract_z
Ta1 Ta 0.0000 0.0000 0.0000
Re1 Re 0.5000 0.5000 0.2598
Pt1 Pt 0.0000 0.0000 0.5000



Entry 2:
# Th3ScSb4, optimized geometry, DFT PBE-GGA
# Formation energy from raw total energies, eV per atom: -0.894
data_Th3ScSb4
_cell_length_a 7.6800
_cell_length_b 8.8424
_cell_length_c 7.6985
_cell_angle_alpha 90.00
_cell_angle_beta 109.26
_cell_angle_gamma 90.00
_space_group_name_H-M_alt 'P 1 2/c 1'
_space_group_IT_number 13
loop_
_space_group_symop_operation_xyz
'x,y,z'
'-x,-y,-z'
'-x,y,-z+1/2'
'x,-y,z+1/2'
loop_
_atom_site_label
_atom_site_type_symbol
_atom_site_fract_x
_atom_site_fract_y
_atom_site_fract_z
Th1 Th 0.0000 0.1254 0.2500
Th2 Th 0.0000 0.3750 0.7500
Th3 Th 0.5000 0.1262 0.7500
Sc1 Sc 0.5000 0.3761 0.2500
Sb1 Sb 0.2584 0.1336 0.0091
Sb2 Sb 0.2659 0.3836 0.4992



What is the formula in the first record? TaRe2Pt